No. 1
This record from the Alexandria database describes crystalline SiTcPb2W at its relaxed geometry. The functional is GGA-PBEsol.

final energy	-30.96	eV/f.u.
total magnetization	0.931	μB/atom
raw formation energy	1.57	eV/atom

Structure (CIF):
```
data_SiTcPb2W
_cell_length_a 5.3095
_cell_length_b 5.3095
_cell_length_c 4.6748
_cell_angle_alpha 90.00
_cell_angle_beta 90.00
_cell_angle_gamma 90.00
_space_group_name_H-M_alt 'P 4/m m m'
_space_group_IT_number 123
_space_group_name_Hall '-P 4 2'
loop_
_atom_site_label
_atom_site_fract_x
_atom_site_fract_y
_atom_site_fract_z
Si1 0.0000 0.0000 0.0000
Tc1 0.5000 0.5000 0.0000
Pb1 0.0000 0.5000 0.5000
W1 0.0000 0.0000 0.5000
```

***

No. 2
This record from the Alexandria database describes crystalline Al2CrRu at its relaxed geometry. The functional is GGA-PBEsol.

final energy	-28.89	eV/f.u.
total magnetization	0.000	μB/atom
formation energy	-0.074	eV/atom

Structure (CIF):
```
data_Al2CrRu
_cell_length_a 2.7365
_cell_length_b 2.7365
_cell_length_c 25.3437
_cell_angle_alpha 90.00
_cell_angle_beta 90.00
_cell_angle_gamma 120.00
_space_group_name_H-M_alt 'R 3 m'
_space_group_IT_number 160
_space_group_name_Hall 'R 3 -2"'
loop_
_atom_site_label
_atom_site_fract_x
_atom_site_fract_y
_atom_site_fract_z
Al1 0.0000 0.0000 0.0000
Al2 0.0000 0.0000 0.2397
Cr1 0.0000 0.0000 0.4919
Ru1 0.0000 0.0000 0.7497
```

***

No. 3
This record from the Alexandria database describes crystalline FeRu5 at its relaxed geometry. The functional is GGA-PBEsol.

final energy	-59.59	eV/f.u.
total magnetization	0.001	μB/atom
formation energy	0.040	eV/atom

Structure (CIF):
```
data_FeRu5
_cell_length_a 4.1855
_cell_length_b 2.6616
_cell_length_c 13.7433
_cell_angle_alpha 90.00
_cell_angle_beta 90.00
_cell_angle_gamma 90.00
_space_group_name_H-M_alt 'A m m 2'
_space_group_IT_number 38
loop_
_space_group_symop_operation_xyz
'x,y,z'
'-x,-y,z'
'-x,y,z'
'x,-y,z'
'x,y+1/2,z+1/2'
'-x,-y+1/2,z+1/2'
'-x,y+1/2,z+1/2'
'x,-y+1/2,z+1/2'
loop_
_atom_site_label
_atom_site_fract_x
_atom_site_fract_y
_atom_site_fract_z
Fe1 0.0000 0.0000 0.0000
Ru1 0.0000 0.0000 0.3355
Ru2 0.0000 0.0000 0.6625
Ru3 0.5000 0.0000 0.2216
Ru4 0.5000 0.0000 0.5525
Ru5 0.5000 0.0000 0.8910
```

***

No. 4
This record from the Alexandria database describes crystalline PuInHg2 at its relaxed geometry. The functional is GGA-PBEsol.

final energy	-19.57	eV/f.u.
total magnetization	1.370	μB/atom
formation energy	-0.074	eV/atom

Structure (CIF):
```
data_PuInHg2
_cell_length_a 7.1686
_cell_length_b 7.1686
_cell_length_c 7.1686
_cell_angle_alpha 90.00
_cell_angle_beta 90.00
_cell_angle_gamma 90.00
_space_group_name_H-M_alt 'F m -3 m'
_space_group_IT_number 225
_space_group_name_Hall '-F 4 2 3'
loop_
_atom_site_label
_atom_site_fract_x
_atom_site_fract_y
_atom_site_fract_z
Pu1 0.0000 0.0000 0.0000
In1 0.0000 0.0000 0.5000
Hg1 0.2500 0.2500 0.2500
```

***

No. 5
This record from the Alexandria database describes crystalline Ta2TlIn at its relaxed geometry. The functional is GGA-PBEsol.

final energy	-29.24	eV/f.u.
total magnetization	0.000	μB/atom
formation energy	0.369	eV/atom

Structure (CIF):
```
data_Ta2TlIn
_cell_length_a 9.8997
_cell_length_b 3.0500
_cell_length_c 5.2599
_cell_angle_alpha 90.00
_cell_angle_beta 100.21
_cell_angle_gamma 90.00
_space_group_name_H-M_alt 'C 1 2/m 1'
_space_group_IT_number 12
loop_
_space_group_symop_operation_xyz
'x,y,z'
'-x,-y,-z'
'-x,y,-z'
'x,-y,z'
'x+1/2,y+1/2,z'
'-x+1/2,-y+1/2,-z'
'-x+1/2,y+1/2,-z'
'x+1/2,-y+1/2,z'
loop_
_atom_site_label
_atom_site_fract_x
_atom_site_fract_y
_atom_site_fract_z
Ta1 0.2495 0.0000 0.2471
Tl1 0.0000 0.0000 0.5000
In1 0.0000 0.5000 0.0000
```

***

No. 6
This record from the Alexandria database describes crystalline La3AlHg at its relaxed geometry. The functional is GGA-PBEsol.

final energy	-18.94	eV/f.u.
total magnetization	0.000	μB/atom
formation energy	0.351	eV/atom

Structure (CIF):
```
data_La3AlHg
_cell_length_a 5.7899
_cell_length_b 5.7899
_cell_length_c 5.7899
_cell_angle_alpha 90.00
_cell_angle_beta 90.00
_cell_angle_gamma 90.00
_space_group_name_H-M_alt 'P m -3 m'
_space_group_IT_number 221
_space_group_name_Hall '-P 4 2 3'
loop_
_atom_site_label
_atom_site_fract_x
_atom_site_fract_y
_atom_site_fract_z
La1 0.0000 0.0000 0.5000
Al1 0.5000 0.5000 0.5000
Hg1 0.0000 0.0000 0.0000
```

***

No. 7
This record from the Alexandria database describes crystalline Mn2BeAlW at its relaxed geometry. The functional is GGA-PBEsol.

final energy	-32.70	eV/f.u.
total magnetization	1.394	μB/atom
formation energy	1.744	eV/atom

Structure (CIF):
```
data_Mn2BeAlW
_cell_length_a 4.3160
_cell_length_b 4.3160
_cell_length_c 4.5979
_cell_angle_alpha 90.00
_cell_angle_beta 90.00
_cell_angle_gamma 90.00
_space_group_name_H-M_alt 'P 4/m m m'
_space_group_IT_number 123
_space_group_name_Hall '-P 4 2'
loop_
_atom_site_label
_atom_site_fract_x
_atom_site_fract_y
_atom_site_fract_z
Mn1 0.0000 0.5000 0.0000
Be1 0.0000 0.0000 0.5000
Al1 0.5000 0.5000 0.0000
W1 0.5000 0.5000 0.5000
```

***

No. 8
This record from the Alexandria database describes crystalline Be2Rh at its relaxed geometry. The functional is GGA-PBEsol.

final energy	-17.59	eV/f.u.
total magnetization	0.000	μB/atom
formation energy	-0.485	eV/atom

Structure (CIF):
```
data_Be2Rh
_cell_length_a 3.3861
_cell_length_b 3.3861
_cell_length_c 20.7800
_cell_angle_alpha 90.00
_cell_angle_beta 90.00
_cell_angle_gamma 90.00
_space_group_name_H-M_alt 'I 41/a m d'
_space_group_IT_number 141
loop_
_space_group_symop_operation_xyz
'x,y,z'
'-x,-y,-z'
'-y+1/4,x+3/4,z+1/4'
'y+1/4,-x+3/4,-z+1/4'
'-x+1/2,-y,z+1/2'
'x+1/2,y,-z+1/2'
'y+1/4,-x+1/4,z+3/4'
'-y+1/4,x+1/4,-z+3/4'
'x,-y,-z'
'-x,y,z'
'-y+1/4,-x+1/4,-z+3/4'
'y+1/4,x+1/4,z+3/4'
'-x+1/2,y,-z+1/2'
'x+1/2,-y,z+1/2'
'y+1/4,x+3/4,-z+1/4'
'-y+1/4,-x+3/4,z+1/4'
'x+1/2,y+1/2,z+1/2'
'-x+1/2,-y+1/2,-z+1/2'
'-y+3/4,x+1/4,z+3/4'
'y+3/4,-x+1/4,-z+3/4'
'-x,-y+1/2,z'
'x,y+1/2,-z'
'y+3/4,-x+3/4,z+1/4'
'-y+3/4,x+3/4,-z+1/4'
'x+1/2,-y+1/2,-z+1/2'
'-x+1/2,y+1/2,z+1/2'
'-y+3/4,-x+3/4,-z+1/4'
'y+3/4,x+3/4,z+1/4'
'-x,y+1/2,-z'
'x,-y+1/2,z'
'y+3/4,x+1/4,-z+3/4'
'-y+3/4,-x+1/4,z+3/4'
loop_
_atom_site_label
_atom_site_fract_x
_atom_site_fract_y
_atom_site_fract_z
Be1 0.0000 0.2500 0.1239
Be2 0.0000 0.2500 0.2864
Rh1 0.0000 0.2500 0.8039
```